Entry 1:
Here is a relaxed structure of Dy7Ni2Te2 from the Alexandria database. Energies are from PBE.

The space group is Imm2 (No. 44) and the conventional cell measures 3.854, 15.678 and 9.607 Å, with angles of 90.00, 90.00 and 90.00 degrees. The inequivalent atoms are Dy at (0.000, 0.000, 0.000), Dy at (0.000, 0.132, 0.418), Dy at (0.000, 0.315, 0.621), Dy at (0.000, 0.353, 0.271), Ni at (0.000, 0.238, 0.928), Te at (0.000, 0.000, 0.664) and Te at (0.000, 0.500, 0.764).

The total moment comes out at 0.00 μB per formula unit. As for the raw total energy: -5.225 eV per atom. The uncorrected formation energy is -0.6736 eV/atom.

Entry 2:
Here is a relaxed structure of PtBr2 from the Alexandria database. Energies are from PBE.

The space group is I4_1/amd (No. 141, origin choice 2) and the conventional cell measures 3.323, 3.323 and 28.686 Å, with angles of 90.00, 90.00 and 90.00 degrees. The inequivalent atoms are Pt at (0.000, 0.250, 0.375) and Br at (0.000, 0.250, 0.818).

The total moment comes out at 0.00 μB per formula unit. As for the raw total energy: -2.555 eV per atom. The uncorrected formation energy is 0.5739 eV/atom.